Entry 1:
A plane-wave DFT calculation with PBE-GGA was carried out for Dy4CuHg2 after structural relaxation.

## Properties
DOS at the Fermi energy in states/eV per atom: 0.920
Final energy in eV/atom: -3.54

Geometry as extended XYZ:
```
7
Lattice="2.5550 1.4751 8.3474 -2.5550 1.4751 8.3474 0.0000 -2.9503 8.3474" Properties=species:S:1:pos:R:3 pbc="T T T"
Dy 0.0000 0.0000 3.0700
Dy 0.0000 0.0000 9.3326
Dy 0.0000 0.0000 15.7097
Dy 0.0000 0.0000 21.9723
Cu 0.0000 0.0000 0.0000
Hg 0.0000 0.0000 6.1731
Hg 0.0000 0.0000 18.8691
```

---

Entry 2:
A plane-wave DFT calculation with PBE-GGA was carried out for Dy2CuHg3 after structural relaxation.

## Properties
DOS at the Fermi energy in states/eV per atom: 0.653
Final energy in eV/atom: -2.72

Geometry as extended XYZ:
```
6
Lattice="3.4583 0.0000 0.0000 0.0000 4.7726 0.0000 0.0000 0.0000 8.3363" Properties=species:S:1:pos:R:3 pbc="T T T"
Dy 0.0000 0.0000 0.0000
Dy 0.0000 2.3863 3.9341
Cu 1.7292 0.0000 2.5763
Hg 1.7292 0.0000 5.2378
Hg 1.7292 2.3863 1.3514
Hg 1.7292 2.3863 6.8159
```

---

Entry 3:
A plane-wave DFT calculation with PBE-GGA was carried out for DyCu2Hg after structural relaxation.

## Properties
DOS at the Fermi energy in states/eV per atom: 1.162
Final energy in eV/atom: -3.47

Geometry as extended XYZ:
```
16
Lattice="6.6339 0.0000 0.0000 0.0000 6.6339 0.0000 0.0000 0.0000 6.6339" Properties=species:S:1:pos:R:3 pbc="T T T"
Dy 0.0000 0.0000 0.0000
Dy 0.0000 3.3169 3.3169
Dy 3.3169 0.0000 3.3169
Dy 3.3169 3.3169 0.0000
Cu 1.6585 1.6585 1.6585
Cu 1.6585 1.6585 4.9754
Cu 1.6585 4.9754 1.6585
Cu 1.6585 4.9754 4.9754
Cu 4.9754 1.6585 1.6585
Cu 4.9754 1.6585 4.9754
Cu 4.9754 4.9754 1.6585
Cu 4.9754 4.9754 4.9754
Hg 0.0000 0.0000 3.3169
Hg 0.0000 3.3169 0.0000
Hg 3.3169 0.0000 0.0000
Hg 3.3169 3.3169 3.3169
```

---

Entry 4:
A plane-wave DFT calculation with PBE-GGA was carried out for Dy2Cu3Hg after structural relaxation.

## Properties
DOS at the Fermi energy in states/eV per atom: 0.567
Final energy in eV/atom: -3.90

Geometry as extended XYZ:
```
12
Lattice="0.0000 4.4847 7.6078 3.5165 0.0000 7.6078 3.5165 4.4847 0.0000" Properties=species:S:1:pos:R:3 pbc="T T T"
Dy 5.3250 4.4847 7.6078
Dy 1.7583 2.2424 3.8039
Dy 5.2748 6.7271 11.4117
Dy 1.7080 4.4847 7.6078
Cu 3.5165 4.4847 2.4299
Cu 3.5165 2.1587 6.3740
Cu 3.5165 2.1587 8.8417
Cu 3.5165 6.8108 6.3740
Cu 3.5165 6.8108 8.8417
Cu 3.5165 4.4847 12.7857
Hg 3.5165 4.4847 5.0782
Hg 3.5165 4.4847 10.1374
```

---

Entry 5:
A plane-wave DFT calculation with PBE-GGA was carried out for DyCuHg2 after structural relaxation.

## Properties
DOS at the Fermi energy in states/eV per atom: 0.631
Final energy in eV/atom: -2.48

Geometry as extended XYZ:
```
4
Lattice="3.4233 0.0000 0.0000 0.0000 3.4233 0.0000 0.0000 0.0000 7.1929" Properties=species:S:1:pos:R:3 pbc="T T T"
Dy 0.0000 0.0000 0.0000
Cu 0.0000 0.0000 3.5965
Hg 1.7117 1.7117 2.0581
Hg 1.7117 1.7117 5.1348
```

---

Entry 6:
A plane-wave DFT calculation with PBE-GGA was carried out for DyCuHg2 after structural relaxation.

## Properties
DOS at the Fermi energy in states/eV per atom: 0.776
Final energy in eV/atom: -2.47

Geometry as extended XYZ:
```
4
Lattice="4.4307 0.0000 0.0000 0.0000 4.4307 0.0000 0.0000 0.0000 4.5052" Properties=species:S:1:pos:R:3 pbc="T T T"
Dy 0.0000 0.0000 0.0000
Cu 2.2153 2.2153 0.0000
Hg 0.0000 2.2153 2.2526
Hg 2.2153 0.0000 2.2526
```

---

Entry 7:
A plane-wave DFT calculation with PBE-GGA was carried out for Dy4Cu2Hg after structural relaxation.

## Properties
DOS at the Fermi energy in states/eV per atom: 0.930
Polymorph energy (0 for the lowest one) in meV per atom: 0.0

Geometry as extended XYZ:
```
14
Lattice="7.0283 0.0000 0.0000 -1.9136 6.9449 0.0000 -2.2841 -3.1899 7.0831" Properties=species:S:1:pos:R:3 pbc="T T T"
Dy 0.0000 0.0000 0.0000
Dy -2.5469 0.2736 5.7629
Dy -1.2569 3.3425 4.5989
Dy 0.8746 2.9032 1.8398
Dy 1.7689 -0.5312 3.2483
Dy 0.9426 0.9455 6.2930
Dy 4.3147 1.7658 1.5995
Dy 3.3553 5.2765 2.8873
Cu -1.4748 4.3900 1.3971
Cu -0.6263 0.8559 3.4235
Cu -0.0947 -1.5625 6.4938
Cu 2.4665 -1.7767 5.8142
Hg 1.1852 5.9721 0.5441
Hg 2.6817 2.4993 4.2578
```

---

Entry 8:
A plane-wave DFT calculation with PBE-GGA was carried out for Dy12Cu6Hg after structural relaxation.

## Properties
DOS at the Fermi energy in states/eV per atom: 0.646
Final energy in eV/atom: -4.41

Geometry as extended XYZ:
```
19
Lattice="-4.9092 4.9092 4.9092 4.9092 -4.9092 4.9092 4.9092 4.9092 -4.9092" Properties=species:S:1:pos:R:3 pbc="T T T"
Dy 4.9092 3.0553 -2.0140
Dy 2.8952 0.0000 1.8539
Dy 6.9232 0.0000 1.8539
Dy 1.8539 2.8952 0.0000
Dy 3.0553 -2.0140 4.9092
Dy 0.0000 1.8539 2.8952
Dy 4.9092 3.0553 2.0140
Dy 1.8539 6.9232 0.0000
Dy 3.0553 2.0140 4.9092
Dy -2.0140 4.9092 3.0553
Dy 2.0140 4.9092 3.0553
Dy 0.0000 1.8539 6.9232
Cu 4.9092 1.2210 0.0000
Cu 4.9092 0.0000 3.6882
Cu 3.6882 4.9092 0.0000
Cu 1.2210 0.0000 4.9092
Cu 0.0000 4.9092 1.2210
Cu 0.0000 3.6882 4.9092
Hg 0.0000 0.0000 0.0000
```

---

Entry 9:
A plane-wave DFT calculation with PBE-GGA was carried out for DyCuHg2 after structural relaxation.

## Properties
DOS at the Fermi energy in states/eV per atom: 0.791
Final energy in eV/atom: -2.59

Geometry as extended XYZ:
```
16
Lattice="4.6131 0.0000 0.0000 0.0000 4.6131 0.0000 0.0000 0.0000 16.3404" Properties=species:S:1:pos:R:3 pbc="T T T"
Dy 0.0000 0.0000 2.2922
Dy 0.0000 0.0000 14.0482
Dy 2.3066 2.3066 5.8780
Dy 2.3066 2.3066 10.4624
Cu 0.0000 2.3066 4.0851
Cu 0.0000 2.3066 12.2553
Cu 2.3066 0.0000 4.0851
Cu 2.3066 0.0000 12.2553
Hg 0.0000 0.0000 5.6053
Hg 0.0000 0.0000 10.7351
Hg 0.0000 2.3066 0.0000
Hg 0.0000 2.3066 8.1702
Hg 2.3066 0.0000 0.0000
Hg 2.3066 0.0000 8.1702
Hg 2.3066 2.3066 2.5649
Hg 2.3066 2.3066 13.7755
```

---

Entry 10:
A plane-wave DFT calculation with PBE-GGA was carried out for Dy3Cu2Hg3 after structural relaxation.

## Properties
DOS at the Fermi energy in states/eV per atom: 0.983
Final energy in eV/atom: -3.22

Geometry as extended XYZ:
```
8
Lattice="7.4210 0.0000 0.0000 -3.7105 6.4267 0.0000 0.0000 0.0000 3.7915" Properties=species:S:1:pos:R:3 pbc="T T T"
Dy -1.5137 2.6219 0.0000
Dy 3.0275 0.0000 0.0000
Dy 2.1967 3.8049 0.0000
Cu 0.0000 4.2845 1.8957
Cu 3.7105 2.1422 1.8957
Hg -2.8037 4.8561 1.8957
Hg 0.9068 1.5707 1.8957
Hg 5.6073 0.0000 1.8957
```

---

Entry 11:
A plane-wave DFT calculation with PBE-GGA was carried out for Dy3CuHg2 after structural relaxation.

## Properties
DOS at the Fermi energy in states/eV per atom: 0.656
Final energy in eV/atom: -3.48

Geometry as extended XYZ:
```
6
Lattice="3.5934 0.0000 0.0000 0.0000 3.5934 0.0000 0.0000 0.0000 11.2339" Properties=species:S:1:pos:R:3 pbc="T T T"
Dy 0.0000 0.0000 0.0000
Dy 0.0000 0.0000 3.9520
Dy 0.0000 0.0000 7.2819
Cu 1.7967 1.7967 5.6169
Hg 1.7967 1.7967 1.9604
Hg 1.7967 1.7967 9.2735
```

---

Entry 12:
A plane-wave DFT calculation with PBE-GGA was carried out for DyCuHg2 after structural relaxation.

## Properties
DOS at the Fermi energy in states/eV per atom: 0.485
Final energy in eV/atom: -2.60

Geometry as extended XYZ:
```
16
Lattice="4.1632 0.0000 0.0000 0.0000 10.2130 0.0000 0.0000 0.0000 7.9599" Properties=species:S:1:pos:R:3 pbc="T T T"
Dy 0.0000 0.6876 1.9900
Dy 0.0000 9.5254 5.9699
Dy 2.0816 4.4189 5.9699
Dy 2.0816 5.7941 1.9900
Cu 0.0000 2.3232 5.9699
Cu 0.0000 7.8898 1.9900
Cu 2.0816 2.7833 1.9900
Cu 2.0816 7.4297 5.9699
Hg 0.0000 3.6784 0.4019
Hg 0.0000 3.6784 3.5780
Hg 0.0000 6.5346 4.3819
Hg 0.0000 6.5346 7.5580
Hg 2.0816 1.4281 4.3819
Hg 2.0816 1.4281 7.5580
Hg 2.0816 8.7850 0.4019
Hg 2.0816 8.7850 3.5780
```